P.
The following is a PBEsol calculation of a geometry-optimized Ba2HgAs structure, from Alexandria.

## Properties
DOS(E_F) (states/eV/f.u.): 1.7

a b c (Å): 4.0786 4.0786 7.8332
angles (deg): 90.00 90.00 90.00
Space group P4/mmm (No. 123)
Symmetry-distinct sites (fractional):
Ba 0.0000 0.0000 0.2175 [2 per cell]
Hg 0.5000 0.5000 0.5000 [1 per cell]
As 0.5000 0.5000 0.0000 [1 per cell]

Q.
The following is a PBEsol calculation of a geometry-optimized Ba2HgAs structure, from Alexandria.

## Properties
DOS(E_F) (states/eV/f.u.): 3.7

a b c (Å): 7.8869 7.8869 7.8869
angles (deg): 90.00 90.00 90.00
Space group F-43m (No. 216)
Symmetry-distinct sites (fractional):
Ba 0.0000 0.0000 0.0000 [4 per cell]
Ba 0.2500 0.2500 0.2500 [4 per cell]
Hg 0.0000 0.0000 0.5000 [4 per cell]
As 0.2500 0.2500 0.7500 [4 per cell]

Result of the stability comparison: P is the most stable of them.

P.
The following is a PBEsol calculation of a geometry-optimized BaAsSe2I structure, from Alexandria.

## Properties
DOS(E_F) (states/eV/f.u.): 4.0

a b c (Å): 5.4463 5.4463 5.3023
angles (deg): 90.00 90.00 90.00
Space group P4/mmm (No. 123)
Symmetry-distinct sites (fractional):
Ba 0.0000 0.0000 0.0000 [1 per cell]
As 0.5000 0.5000 0.0000 [1 per cell]
Se 0.0000 0.5000 0.5000 [2 per cell]
I 0.5000 0.5000 0.5000 [1 per cell]

Q.
The following is a PBEsol calculation of a geometry-optimized BaAsSe2I structure, from Alexandria.

## Properties
DOS(E_F) (states/eV/f.u.): 10.5

a b c (Å): 6.1067 6.1067 6.3521
angles (deg): 90.00 90.00 90.00
Space group P4/mmm (No. 123)
Symmetry-distinct sites (fractional):
Ba 0.0000 0.0000 0.0000 [1 per cell]
As 0.0000 0.0000 0.5000 [1 per cell]
Se 0.0000 0.5000 0.0000 [2 per cell]
I 0.5000 0.5000 0.5000 [1 per cell]

Result of the stability comparison: P is the most stable of them.